[1]
## PrSbO4 (GGA-PBEsol)

Data for a geometry-optimized PrSbO4 structure.

Cell and atoms, written as extended XYZ:
```
24
Lattice="5.329 0.000 0.000 0.000 5.055 0.000 -4.147 0.000 12.682" Properties=species:S:1:pos:R:3 pbc="T T T"
Pr 0.126 0.932 2.068
Pr -1.948 1.595 8.409
Pr 3.130 3.460 4.273
Pr 1.057 4.123 10.614
Sb 0.432 1.253 5.440
Sb -1.642 1.274 11.780
Sb 2.824 3.780 0.901
Sb 0.750 3.802 7.242
O -0.973 0.624 4.217
O -3.046 1.903 10.558
O -0.641 2.851 6.052
O -2.715 4.731 12.393
O -0.382 0.375 7.090
O 1.692 2.152 0.749
O -0.779 0.485 10.234
O 1.295 2.042 3.893
O -0.112 3.013 8.788
O 1.961 4.569 2.448
O -0.509 2.903 11.933
O 1.564 4.680 5.592
O 3.897 0.323 0.288
O 1.823 2.204 6.629
O 4.228 3.152 2.124
O 2.155 4.430 8.465
```

Values from the calculation:
Formation energy without anion corrections: -2342 meV/atom
Total DFT energy (no corrections): -7.4656 eV/atom

=====

[2]
## Pr2SbO2 (GGA-PBEsol)

Data for a geometry-optimized Pr2SbO2 structure.

Cell and atoms, written as extended XYZ:
```
5
Lattice="-1.987 1.987 6.864 1.987 -1.987 6.864 1.987 1.987 -6.864" Properties=species:S:1:pos:R:3 pbc="T T T"
Pr 0.000 0.000 2.224
Pr 0.000 0.000 11.505
Sb 0.000 0.000 6.864
O 1.987 0.000 3.432
O 0.000 1.987 3.432
```

Values from the calculation:
Formation energy without anion corrections: -2594 meV/atom
Total DFT energy (no corrections): -7.6793 eV/atom

=====

[3]
## SrPrScO4 (GGA-PBEsol)

Data for a geometry-optimized SrPrScO4 structure.

Cell and atoms, written as extended XYZ:
```
14
Lattice="2.810 -6.137 0.000 2.810 6.137 0.000 0.000 0.000 5.830" Properties=species:S:1:pos:R:3 pbc="T T T"
Sr 2.810 4.852 2.915
Sr 2.810 -4.852 0.000
Pr 2.810 1.336 3.087
Pr 2.810 -1.336 0.172
Sc 2.810 3.101 0.102
Sc 2.810 -3.101 3.017
O 1.433 2.789 1.585
O 2.810 5.113 0.455
O 2.810 0.876 5.407
O 1.433 -2.789 4.500
O 4.186 2.789 1.585
O 2.810 -0.876 2.492
O 2.810 -5.113 3.370
O 4.186 -2.789 4.500
```

Values from the calculation:
E above lowest polymorph: 0.000 eV/atom
Formation energy without anion corrections: -3261 meV/atom
Total DFT energy (no corrections): -8.2076 eV/atom

=====

[4]
## SrPrScO4 (GGA-PBEsol)

Data for a geometry-optimized SrPrScO4 structure.

Cell and atoms, written as extended XYZ:
```
7
Lattice="-1.993 1.993 6.251 1.993 -1.993 6.251 1.993 1.993 -6.251" Properties=species:S:1:pos:R:3 pbc="T T T"
Sr 0.000 0.000 0.000
Pr 0.000 0.000 3.563
Sc 0.000 0.000 8.009
O 1.993 0.000 1.961
O 0.000 0.000 5.887
O 0.000 1.993 1.961
O 0.000 0.000 10.193
```

Values from the calculation:
E above lowest polymorph: 0.014 eV/atom
Formation energy without anion corrections: -3247 meV/atom
Total DFT energy (no corrections): -8.1937 eV/atom

=====

[5]
## PrSe4O11 (GGA-PBEsol)

Data for a geometry-optimized PrSe4O11 structure.

Cell and atoms, written as extended XYZ:
```
64
Lattice="13.295 0.000 0.000 0.000 7.155 0.000 -0.796 0.000 10.672" Properties=species:S:1:pos:R:3 pbc="T T T"
Pr 1.785 0.448 5.036
Pr 1.387 3.129 10.372
Pr 11.112 4.026 0.300
Pr 10.714 6.707 5.636
Se -0.080 1.561 1.967
Se -0.478 2.017 7.303
Se 2.186 3.915 6.674
Se 2.584 6.817 1.338
Se 2.862 3.582 3.371
Se 2.464 7.150 8.707
Se 4.592 4.731 8.815
Se 4.990 6.001 3.479
Se 7.509 1.153 7.193
Se 7.907 2.424 1.857
Se 10.035 0.005 1.965
Se 9.637 3.573 7.301
Se 9.915 0.338 9.334
Se 10.313 3.239 3.998
Se 12.977 5.138 3.369
Se 12.579 5.594 8.705
O -0.381 0.540 6.459
O 0.017 3.037 1.123
O 0.341 1.639 8.718
O 0.740 1.938 3.382
O 1.248 0.907 0.829
O 0.850 2.671 6.165
O 1.494 4.329 8.161
O 1.892 6.404 2.825
O 1.814 5.182 5.652
O 2.212 5.550 0.316
O 2.775 0.775 7.262
O 3.173 2.803 1.926
O 2.703 1.117 9.959
O 3.101 2.460 4.623
O 3.699 3.782 9.817
O 4.097 6.950 4.481
O 4.127 4.474 7.167
O 4.525 6.258 1.831
O 4.578 4.322 3.767
O 4.180 6.410 9.103
O 5.909 1.044 7.076
O 6.307 2.534 1.740
O 6.192 4.621 8.932
O 6.590 6.111 3.596
O 8.319 0.745 1.569
O 7.921 2.833 6.905
O 7.974 0.897 8.841
O 8.372 2.681 3.505
O 8.402 0.205 6.191
O 8.800 3.373 0.855
O 9.398 4.695 6.049
O 9.796 6.038 0.713
O 9.326 4.352 8.746
O 9.724 6.380 3.410
O 10.287 1.605 10.356
O 10.685 1.973 5.020
O 10.607 0.751 7.847
O 11.005 2.826 2.511
O 11.649 4.484 4.507
O 11.251 6.248 9.843
O 11.759 5.217 7.290
O 12.157 5.516 1.954
O 12.482 4.118 9.549
O 12.880 6.615 4.213
```

Values from the calculation:
Formation energy without anion corrections: -1064 meV/atom
Total DFT energy (no corrections): -5.9598 eV/atom

=====

[6]
## Pr4Se3O4 (GGA-PBEsol)

Data for a geometry-optimized Pr4Se3O4 structure.

Cell and atoms, written as extended XYZ:
```
11
Lattice="8.418 0.000 0.000 0.000 2.012 6.472 0.000 -2.012 6.472" Properties=species:S:1:pos:R:3 pbc="T T T"
Pr 0.000 0.000 0.000
Pr 1.996 0.000 8.862
Pr 4.209 0.000 0.212
Pr 6.422 0.000 8.862
Se 0.000 0.000 4.033
Se 2.953 0.000 4.623
Se 5.465 0.000 4.623
O 0.000 0.000 7.609
O 2.052 0.000 1.150
O 4.209 0.000 7.964
O 6.366 0.000 1.150
```

Values from the calculation:
Formation energy without anion corrections: -2757 meV/atom
Total DFT energy (no corrections): -7.6015 eV/atom

=====

[7]
## Pr4Si2Se3O7 (GGA-PBEsol)

Data for a geometry-optimized Pr4Si2Se3O7 structure.

Cell and atoms, written as extended XYZ:
```
64
Lattice="-6.058 6.058 7.228 6.058 -6.058 7.228 6.058 6.058 -7.228" Properties=species:S:1:pos:R:3 pbc="T T T"
Pr 2.091 -0.938 1.807
Pr 10.025 -0.938 1.807
Pr 6.058 0.120 2.393
Pr 2.091 5.120 -1.807
Pr 3.967 -0.938 5.421
Pr 3.149 3.029 1.221
Pr 8.966 3.029 1.221
Pr 0.000 0.120 4.835
Pr 6.058 5.938 2.393
Pr -2.909 3.029 6.007
Pr 2.909 3.029 6.007
Pr 2.091 6.996 1.807
Pr 3.967 0.938 9.035
Pr 0.000 5.938 4.835
Pr -3.967 6.996 5.421
Pr 3.967 6.996 5.421
Si 4.553 3.029 -2.261
Si 7.563 3.029 -2.261
Si 0.000 1.524 1.353
Si 0.000 4.534 1.353
Si 6.058 1.524 5.875
Si 6.058 4.534 5.875
Si -1.505 3.029 9.489
Si 1.505 3.029 9.489
Se 4.290 0.000 0.000
Se 7.825 0.000 0.000
Se 6.058 -3.029 5.421
Se 3.029 7.319 -3.614
Se 3.029 1.261 3.614
Se 6.058 3.029 1.807
Se 4.290 6.058 0.000
Se 1.767 0.000 7.228
Se 0.000 3.029 5.421
Se -3.029 4.796 3.614
Se 3.029 4.796 3.614
Se 0.000 9.087 1.807
O 4.347 -1.588 3.018
O 7.769 -1.588 3.018
O 6.058 3.029 -1.582
O 1.441 1.318 0.596
O 10.675 1.318 0.596
O 4.347 4.470 -3.018
O 1.711 -1.588 4.210
O 3.314 3.029 -1.161
O 8.802 3.029 -1.161
O 0.000 0.285 2.453
O 6.058 0.285 4.775
O 0.000 3.029 2.032
O 1.441 4.740 0.596
O 4.617 -1.318 7.824
O 1.441 7.376 -0.596
O 4.617 1.318 6.632
O 6.058 3.029 5.196
O 0.000 5.773 2.453
O 6.058 5.773 4.775
O -2.744 3.029 8.389
O 2.744 3.029 8.389
O 4.347 7.646 3.018
O 1.711 1.588 10.246
O -4.617 4.740 6.632
O 4.617 4.740 6.632
O 0.000 3.029 8.810
O -1.711 7.646 4.210
O 1.711 7.646 4.210
```

Values from the calculation:
Formation energy without anion corrections: -2821 meV/atom
Total DFT energy (no corrections): -7.8541 eV/atom

=====

[8]
## Pr2SiTeO4 (GGA-PBEsol)

Data for a geometry-optimized Pr2SiTeO4 structure.

Cell and atoms, written as extended XYZ:
```
32
Lattice="6.336 0.000 0.000 0.000 7.213 0.000 0.000 0.000 11.189" Properties=species:S:1:pos:R:3 pbc="T T T"
Pr 0.704 1.803 0.000
Pr 0.704 1.803 5.595
Pr 2.445 3.888 2.797
Pr 2.445 6.931 8.392
Pr 3.890 0.282 2.797
Pr 3.890 3.325 8.392
Pr 5.631 5.410 0.000
Pr 5.631 5.410 5.595
Si 2.450 5.410 0.000
Si 2.450 5.410 5.595
Si 3.886 1.803 0.000
Si 3.886 1.803 5.595
Te 0.633 4.136 8.392
Te 0.633 6.684 2.797
Te 5.702 0.529 8.392
Te 5.702 3.077 2.797
O 1.465 4.161 0.410
O 1.465 4.161 5.185
O 1.465 6.659 6.004
O 1.465 6.659 10.780
O 2.858 1.661 6.887
O 2.858 1.661 9.897
O 2.858 1.945 1.292
O 2.858 1.945 4.302
O 3.478 5.268 6.887
O 3.478 5.268 9.897
O 3.478 5.552 1.292
O 3.478 5.552 4.302
O 4.871 0.554 0.410
O 4.871 0.554 5.185
O 4.871 3.052 6.004
O 4.871 3.052 10.780
```

Values from the calculation:
E above lowest polymorph: 0.000 eV/atom
Formation energy without anion corrections: -2916 meV/atom
Total DFT energy (no corrections): -7.9954 eV/atom

=====

[9]
## Pr2SiTeO4 (GGA-PBEsol)

Data for a geometry-optimized Pr2SiTeO4 structure.

Cell and atoms, written as extended XYZ:
```
32
Lattice="9.829 0.000 0.000 0.000 6.451 0.000 -0.701 0.000 8.708" Properties=species:S:1:pos:R:3 pbc="T T T"
Pr 0.888 0.971 1.682
Pr 0.537 2.255 6.036
Pr 3.188 4.482 2.921
Pr 2.837 5.195 7.275
Pr 6.291 1.257 1.433
Pr 5.940 1.969 5.787
Pr 8.591 4.197 2.672
Pr 8.240 5.480 7.026
Si 1.196 4.454 0.502
Si 0.845 5.223 4.856
Si 8.283 1.228 3.852
Si 7.932 1.997 8.206
Te 3.704 1.362 3.362
Te 3.354 1.864 7.716
Te 5.774 4.588 0.992
Te 5.423 5.089 5.346
O -0.458 1.229 8.019
O -0.107 1.997 3.665
O 0.617 4.088 7.626
O 0.968 5.589 3.272
O 1.380 3.297 1.623
O 1.030 6.380 5.977
O 2.053 4.134 5.147
O 2.404 5.543 0.793
O 6.724 0.909 7.915
O 7.075 2.317 3.561
O 8.098 0.071 2.731
O 7.748 3.155 7.085
O 8.160 0.862 5.436
O 8.511 2.363 1.082
O 9.235 4.455 5.042
O 9.585 5.222 0.688
```

Values from the calculation:
E above lowest polymorph: 0.026 eV/atom
Formation energy without anion corrections: -2889 meV/atom
Total DFT energy (no corrections): -7.9690 eV/atom

=====

[10]
## SrPrVO4 (GGA-PBEsol)

Data for a geometry-optimized SrPrVO4 structure.

Cell and atoms, written as extended XYZ:
```
7
Lattice="-1.912 1.912 6.203 1.912 -1.912 6.203 1.912 1.912 -6.203" Properties=species:S:1:pos:R:3 pbc="T T T"
Sr 0.000 0.000 0.000
Pr 0.000 0.000 3.530
V 0.000 0.000 7.959
O 1.912 0.000 1.851
O 0.000 0.000 5.864
O 0.000 1.912 1.851
O 0.000 0.000 10.016
```

Values from the calculation:
Formation energy without anion corrections: -2891 meV/atom
Total DFT energy (no corrections): -8.2704 eV/atom

=====

[11]
## PrTa7O19 (GGA-PBEsol)

Data for a geometry-optimized PrTa7O19 structure.

Cell and atoms, written as extended XYZ:
```
54
Lattice="6.222 0.000 0.000 -3.111 5.388 0.000 0.000 0.000 20.018" Properties=species:S:1:pos:R:3 pbc="T T T"
Pr 0.000 0.000 0.000
Pr 0.000 0.000 10.009
Ta -0.861 1.799 3.124
Ta -0.861 1.799 6.886
Ta -1.984 3.743 13.133
Ta -1.984 3.743 16.895
Ta 0.861 1.799 13.133
Ta 0.861 1.799 16.895
Ta -1.122 5.235 3.124
Ta -1.122 5.235 6.886
Ta 0.000 3.592 0.000
Ta 0.000 3.592 10.009
Ta 1.984 3.743 3.124
Ta 1.984 3.743 6.886
Ta 1.122 5.235 13.133
Ta 1.122 5.235 16.895
O 0.000 0.000 2.618
O 0.000 0.000 7.391
O 0.000 0.000 12.627
O 0.000 0.000 17.400
O -0.628 1.545 5.005
O -2.087 4.072 15.014
O -0.592 2.080 1.144
O -0.592 2.080 8.866
O -1.606 3.835 11.153
O -1.606 3.835 18.875
O 0.628 1.545 15.014
O -1.459 5.160 5.005
O 0.592 2.080 11.153
O 0.592 2.080 18.875
O -1.013 4.861 1.144
O -1.013 4.861 8.866
O 0.000 3.592 3.382
O 0.000 3.592 6.628
O 0.000 3.592 13.391
O 0.000 3.592 16.637
O 2.339 0.460 13.083
O 2.339 0.460 16.945
O 1.568 1.796 3.073
O 1.568 1.796 6.936
O 1.606 3.835 1.144
O 1.606 3.835 8.866
O 1.013 4.861 11.153
O 1.013 4.861 18.875
O 3.883 0.460 3.073
O 3.883 0.460 6.936
O 2.340 3.132 13.083
O 2.340 3.132 16.945
O 2.087 4.072 5.005
O 1.459 5.160 15.014
O 4.654 1.796 13.083
O 4.654 1.796 16.945
O 3.882 3.132 3.073
O 3.882 3.132 6.936
```

Values from the calculation:
Formation energy without anion corrections: -2953 meV/atom
Total DFT energy (no corrections): -10.0927 eV/atom

=====

[12]
## PrTaTiO6 (GGA-PBEsol)

Data for a geometry-optimized PrTaTiO6 structure.

Cell and atoms, written as extended XYZ:
```
36
Lattice="10.970 0.000 0.000 0.000 5.365 0.000 0.000 0.000 7.500" Properties=species:S:1:pos:R:3 pbc="T T T"
Pr 0.483 0.233 0.000
Pr 5.002 2.916 3.750
Pr 5.968 2.449 0.000
Pr 10.486 5.132 3.750
Ta 1.584 2.899 1.921
Ta 3.901 0.216 5.671
Ta 7.069 5.149 1.921
Ta 9.386 2.466 5.671
Ti 1.553 2.885 5.581
Ti 3.932 0.203 1.831
Ti 7.038 5.163 5.581
Ti 9.417 2.480 1.831
O 0.272 1.455 5.348
O 0.305 1.429 2.167
O 1.344 3.531 3.772
O 1.584 2.439 7.493
O 2.281 4.676 6.070
O 2.332 4.698 1.443
O 3.153 2.016 5.192
O 3.204 1.993 2.320
O 3.901 5.122 3.743
O 4.141 0.849 0.022
O 5.180 4.112 5.917
O 5.213 4.138 1.599
O 5.757 1.227 5.348
O 5.790 1.254 2.167
O 6.828 4.517 3.772
O 7.069 0.243 7.493
O 7.766 3.372 6.070
O 7.817 3.350 1.443
O 8.637 0.667 5.192
O 8.689 0.690 2.320
O 9.386 2.926 3.743
O 9.626 1.834 0.022
O 10.665 3.936 5.917
O 10.698 3.910 1.599
```

Values from the calculation:
Formation energy without anion corrections: -3185 meV/atom
Total DFT energy (no corrections): -9.5802 eV/atom